Ti3MoRh2 after structural relaxation, computed with PBE.

Cell lengths 3.1366, 3.1366, 9.3133 Å; angles 90.00, 90.00, 90.00 degrees
Element x y z (fractional)
Ti (0.0000, 0.0000, 0.0000)
Ti (0.0000, 0.0000, 0.3370)
Ti (0.0000, 0.0000, 0.6630)
Mo (0.5000, 0.5000, 0.5000)
Rh (0.5000, 0.5000, 0.1597)
Rh (0.5000, 0.5000, 0.8403)

- E_form (kJ per mole of atoms) = -59
- space-group type = P4/mmm (123)
- E_tot (eV/cell) = -52.908
- DOS(E_F) (states/eV per atom) = 0.74


Ti2MoRh after structural relaxation, computed with PBE.

Cell lengths 4.4358, 4.4358, 3.0981 Å; angles 90.00, 90.00, 90.00 degrees
Element x y z (fractional)
Ti (0.0000, 0.5000, 0.0000)
Ti (0.5000, 0.0000, 0.0000)
Mo (0.0000, 0.0000, 0.5000)
Rh (0.5000, 0.5000, 0.5000)

- E_form (kJ per mole of atoms) = -51
- space-group type = P4/mmm (123)
- E_tot (eV/cell) = -36.084
- DOS(E_F) (states/eV per atom) = 0.53


TiMoRh after structural relaxation, computed with PBE.

Cell lengths 5.0814, 5.0814, 6.1528 Å; angles 103.07, 103.07, 36.73 degrees
Element x y z (fractional)
Ti (0.0000, 0.0000, 0.0000)
Ti (0.6819, 0.6819, 0.3435)
Mo (0.3379, 0.3379, 0.6758)
Mo (0.6730, 0.6730, 0.8367)
Rh (0.0176, 0.0176, 0.5012)
Rh (0.3320, 0.3320, 0.1710)

- E_form (kJ per mole of atoms) = -29
- space-group type = Cm (8)
- polymorph energy (0 for the lowest one) (eV/f.u.) = 0.28
- E_tot (eV/cell) = -53.975
- DOS(E_F) (states/eV per atom) = 1.00


TiMoRh after structural relaxation, computed with PBE.

Cell lengths 4.6101, 3.0343, 6.7779 Å; angles 90.00, 104.65, 90.00 degrees
Element x y z (fractional)
Ti (0.0000, 0.0000, 0.0000)
Ti (0.3704, 0.0000, 0.6669)
Mo (0.7405, 0.0000, 0.3360)
Mo (0.8666, 0.5000, 0.6603)
Rh (0.2443, 0.5000, 0.3408)
Rh (0.4852, 0.5000, 0.9913)

- E_form (kJ per mole of atoms) = -36
- space-group type = Pm (6)
- polymorph energy (0 for the lowest one) (eV/f.u.) = 0.08
- E_tot (eV/cell) = -54.382
- DOS(E_F) (states/eV per atom) = 0.85


TiMo2Rh after structural relaxation, computed with PBE.

Cell lengths 4.4357, 4.4357, 4.4357 Å; angles 60.00, 60.00, 60.00 degrees
Element x y z (fractional)
Ti (0.0000, 0.0000, 0.0000)
Mo (0.2500, 0.2500, 0.2500)
Mo (0.7500, 0.7500, 0.7500)
Rh (0.5000, 0.5000, 0.5000)

- E_form (kJ per mole of atoms) = 4
- space-group type = Fm-3m (225)
- polymorph energy (0 for the lowest one) (eV/f.u.) = 0.00
- E_tot (eV/cell) = -36.725
- DOS(E_F) (states/eV per atom) = 1.97


TiMoRh after structural relaxation, computed with PBE.

Cell lengths 5.2013, 5.2013, 5.4257 Å; angles 121.17, 121.17, 49.16 degrees
Element x y z (fractional)
Ti (0.0000, 0.0000, 0.0000)
Ti (0.6650, 0.6650, 0.8150)
Mo (0.3256, 0.3256, 0.1712)
Mo (0.9930, 0.9930, 0.4896)
Rh (0.3471, 0.3471, 0.6962)
Rh (0.6535, 0.6535, 0.3026)

- E_form (kJ per mole of atoms) = -33
- space-group type = Cm (8)
- polymorph energy (0 for the lowest one) (eV/f.u.) = 0.16
- E_tot (eV/cell) = -54.218
- DOS(E_F) (states/eV per atom) = 0.86


Ti6MoRh3 after structural relaxation, computed with PBE.

Cell lengths 6.5524, 6.5524, 6.5524 Å; angles 60.00, 60.00, 60.00 degrees
Element x y z (fractional)
Ti (0.2496, 0.2496, 0.7504)
Ti (0.2496, 0.7504, 0.2496)
Ti (0.2496, 0.7504, 0.7504)
Ti (0.7504, 0.2496, 0.2496)
Ti (0.7504, 0.2496, 0.7504)
Ti (0.7504, 0.7504, 0.2496)
Mo (0.0000, 0.0000, 0.0000)
Rh (0.2500, 0.2500, 0.2500)
Rh (0.5000, 0.5000, 0.5000)
Rh (0.7500, 0.7500, 0.7500)

- E_form (kJ per mole of atoms) = 63
- space-group type = Fm-3m (225)
- E_tot (eV/cell) = -73.770
- DOS(E_F) (states/eV per atom) = 1.87


TiMoRh2 after structural relaxation, computed with PBE.

Cell lengths 9.0246, 9.0246, 9.0246 Å; angles 154.97, 154.97, 35.70 degrees
Element x y z (fractional)
Ti (0.0000, 0.0000, 0.0000)
Ti (0.7500, 0.2500, 0.5000)
Mo (0.2500, 0.7500, 0.5000)
Mo (0.5000, 0.5000, 0.0000)
Rh (0.1209, 0.6250, 0.9959)
Rh (0.3750, 0.3709, 0.4959)
Rh (0.6291, 0.1250, 0.0041)
Rh (0.8750, 0.8791, 0.5041)

- E_form (kJ per mole of atoms) = 16
- space-group type = I-42d (122)
- polymorph energy (0 for the lowest one) (eV/f.u.) = 2.31
- E_tot (eV/cell) = -65.532
- DOS(E_F) (states/eV per atom) = 0.68